A plane-wave DFT calculation with GGA-PBE was carried out for an optimized crystal structure of W4AuCl.

Results
V: 108.61 Å³/f.u.
total DFT energy (no corrections): -8.353 eV per atom
ΔE_f (raw): 1136 meV per atom
density: 14.8 g/cm3

Cell lengths 7.574, 7.574, 7.574 Å; angles 90.00, 90.00, 90.00 degrees
Space group F-43m (No. 216)
Unique sites:
W 0.124 0.124 0.376 x16
Au 0.000 0.000 0.000 x4
Cl 0.250 0.250 0.750 x4